(1)
# Mn5Cr2SiRu2

A relaxed structure of Mn5Cr2SiRu2 (PBE, the Alexandria database).

Summary:
- Magnetic moment: 0.01 μB/f.u.

a = 2.859 Å, b = 9.186 Å, c = 9.186 Å
α = 90.00°, β = 90.00°, γ = 90.00°
Element x y z (fractional)
Mn1 0.500 0.190 0.061
Mn2 0.500 0.810 0.939
Mn3 0.500 0.061 0.810
Mn4 0.500 0.690 0.439
Mn5 0.500 0.939 0.190
Mn6 0.500 0.310 0.561
Mn7 0.500 0.561 0.690
Mn8 0.500 0.439 0.310
Mn9 0.500 0.500 0.000
Mn10 0.500 0.000 0.500
Cr1 0.000 0.131 0.631
Cr2 0.000 0.869 0.369
Cr3 0.000 0.631 0.869
Cr4 0.000 0.369 0.131
Si1 0.000 0.000 0.000
Si2 0.000 0.500 0.500
Ru1 0.000 0.676 0.176
Ru2 0.000 0.324 0.824
Ru3 0.000 0.176 0.324
Ru4 0.000 0.824 0.676

---

(2)
# Rb3CaCr2Cl9

A relaxed structure of Rb3CaCr2Cl9 (PBE, the Alexandria database).

Summary:
- Magnetic moment: 8.00 μB/f.u.

a = 7.270 Å, b = 7.270 Å, c = 8.927 Å
α = 90.00°, β = 90.00°, γ = 120.00°
Element x y z (fractional)
Rb1 0.333 0.667 0.672
Rb2 0.000 0.000 0.000
Rb3 0.667 0.333 0.328
Ca1 0.000 0.000 0.500
Cr1 0.333 0.667 0.156
Cr2 0.667 0.333 0.844
Cl1 0.827 0.173 0.679
Cl2 0.827 0.654 0.679
Cl3 0.346 0.173 0.679
Cl4 0.654 0.827 0.321
Cl5 0.173 0.346 0.321
Cl6 0.173 0.827 0.321
Cl7 0.500 0.000 0.000
Cl8 0.000 0.500 0.000
Cl9 0.500 0.500 0.000

---

(3)
# DyNpSbO6

A relaxed structure of DyNpSbO6 (PBE, the Alexandria database).

Summary:
- Magnetic moment: 1.00 μB/f.u.

a = 5.769 Å, b = 5.769 Å, c = 9.312 Å
α = 90.00°, β = 90.00°, γ = 120.00°
Element x y z (fractional)
Dy1 0.333 0.667 0.250
Dy2 0.667 0.333 0.750
Np1 0.667 0.333 0.250
Np2 0.333 0.667 0.750
Sb1 0.000 0.000 0.000
Sb2 0.000 0.000 0.500
O1 0.668 0.642 0.132
O2 0.974 0.332 0.132
O3 0.332 0.974 0.632
O4 0.026 0.668 0.868
O5 0.358 0.332 0.368
O6 0.974 0.642 0.368
O7 0.642 0.974 0.868
O8 0.668 0.026 0.368
O9 0.026 0.358 0.632
O10 0.358 0.026 0.132
O11 0.642 0.668 0.632
O12 0.332 0.358 0.868

---

| no. | uncorrected formation energy (meV per atom) |
| --- | --- |
| 1 | 211 |
| 2 | -1657 |
| 3 | -2493 |